Density functional theory data (PBE) for Pm2Ga3Pd4 after structural relaxation.

Geometry as POSCAR:
```
Pm2Ga3Pd4
1.0
2.834 -7.759 0.000
2.834 7.759 0.000
0.000 0.000 7.712
Pm Ga Pd
4 6 8
Direct
0.110 0.890 0.917
0.390 0.610 0.417
0.610 0.390 0.583
0.890 0.110 0.083
0.000 0.000 0.500
0.020 0.480 0.750
0.480 0.020 0.250
0.500 0.500 0.000
0.520 0.980 0.750
0.980 0.520 0.250
0.183 0.817 0.518
0.189 0.311 0.750
0.311 0.189 0.250
0.317 0.683 0.018
0.683 0.317 0.982
0.689 0.811 0.750
0.811 0.689 0.250
0.817 0.183 0.482
```

Output
M_tot: 0.0 μB/f.u.
ΔH_f (0 K): -0.821 eV per atom